[1]
# TmGaN, optimized geometry, DFT PBE
data_TmGaN
_symmetry_space_group_name_H-M 'P 1'
_symmetry_Int_Tables_number 1
_cell_length_a 3.237
_cell_length_b 6.262
_cell_length_c 10.217
_cell_angle_alpha 90.00
_cell_angle_beta 90.00
_cell_angle_gamma 90.00
loop_
_symmetry_equiv_pos_as_xyz
'x,y,z'
loop_
_atom_site_label
_atom_site_type_symbol
_atom_site_fract_x
_atom_site_fract_y
_atom_site_fract_z
_atom_site_occupancy
Tm1 Tm 0.750 0.504 0.205 1
Tm2 Tm 0.250 0.996 0.705 1
Ga1 Ga 0.750 0.323 0.522 1
Ga2 Ga 0.250 0.177 0.022 1
N1 N 0.250 0.228 0.213 1
Ga3 Ga 0.250 0.677 0.478 1
Tm3 Tm 0.250 0.496 0.795 1
Tm4 Tm 0.750 0.004 0.295 1
Ga4 Ga 0.750 0.823 0.978 1
N2 N 0.750 0.772 0.787 1
N3 N 0.750 0.272 0.713 1
N4 N 0.250 0.728 0.287 1
# total energy: -74.381 eV/cell
# space-group type: No. 62
# E_form (uncorrected): -0.92 eV/atom
# magnetization: 0.000 μB/atom

=====

[2]
# Be2Au, optimized geometry, DFT PBE
data_Be2Au
_symmetry_space_group_name_H-M 'P 1'
_symmetry_Int_Tables_number 1
_cell_length_a 7.893
_cell_length_b 7.893
_cell_length_c 7.893
_cell_angle_alpha 160.39
_cell_angle_beta 152.79
_cell_angle_gamma 33.77
loop_
_symmetry_equiv_pos_as_xyz
'x,y,z'
loop_
_atom_site_label
_atom_site_type_symbol
_atom_site_fract_x
_atom_site_fract_y
_atom_site_fract_z
_atom_site_occupancy
Be1 Be 0.792 0.542 0.250 1
Au1 Au 0.645 0.895 0.750 1
Be2 Be 0.941 0.691 0.250 1
Be3 Be 0.059 0.309 0.750 1
Be4 Be 0.208 0.458 0.750 1
Au2 Au 0.355 0.105 0.250 1
# total energy: -20.716 eV/cell
# space-group type: No. 74
# magnetization: 0.000 μB/atom
# formation energy from the elements: 0.12 eV per atom

=====

[3]
# TiPS3, optimized geometry, DFT PBE
data_TiPS3
_symmetry_space_group_name_H-M 'P 1'
_symmetry_Int_Tables_number 1
_cell_length_a 4.434
_cell_length_b 4.434
_cell_length_c 4.434
_cell_angle_alpha 90.00
_cell_angle_beta 90.00
_cell_angle_gamma 90.00
loop_
_symmetry_equiv_pos_as_xyz
'x,y,z'
loop_
_atom_site_label
_atom_site_type_symbol
_atom_site_fract_x
_atom_site_fract_y
_atom_site_fract_z
_atom_site_occupancy
P1 P 0.000 0.000 0.000 1
S1 S 0.000 0.000 0.500 1
Ti1 Ti 0.500 0.500 0.500 1
S2 S 0.500 0.000 0.000 1
S3 S 0.000 0.500 0.000 1
# total energy: -24.540 eV/cell
# offset from the most stable computed form: 6.5 kJ per mole of atoms
# space-group type: No. 221
# E_form (uncorrected): 0.23 eV/atom
# magnetization: 0.000 μB/atom

=====

[4]
# Zn2Ge2Sb, optimized geometry, DFT PBE
data_Zn2Ge2Sb
_symmetry_space_group_name_H-M 'P 1'
_symmetry_Int_Tables_number 1
_cell_length_a 8.045
_cell_length_b 8.045
_cell_length_c 3.101
_cell_angle_alpha 90.00
_cell_angle_beta 90.00
_cell_angle_gamma 90.00
loop_
_symmetry_equiv_pos_as_xyz
'x,y,z'
loop_
_atom_site_label
_atom_site_type_symbol
_atom_site_fract_x
_atom_site_fract_y
_atom_site_fract_z
_atom_site_occupancy
Zn1 Zn 0.117 0.617 0.500 1
Sb1 Sb 0.000 0.000 0.000 1
Zn2 Zn 0.883 0.383 0.500 1
Ge1 Ge 0.817 0.683 0.000 1
Sb2 Sb 0.500 0.500 0.000 1
Ge2 Ge 0.183 0.317 0.000 1
Zn3 Zn 0.383 0.117 0.500 1
Ge3 Ge 0.317 0.817 0.000 1
Ge4 Ge 0.683 0.183 0.000 1
Zn4 Zn 0.617 0.883 0.500 1
# total energy: -29.688 eV/cell
# offset from the most stable computed form: 0.0 kJ per mole of atoms
# space-group type: No. 127
# E_form (uncorrected): 0.21 eV/atom
# magnetization: 0.000 μB/atom

=====

[5]
# RbBaInP2, optimized geometry, DFT PBE
data_RbBaInP2
_symmetry_space_group_name_H-M 'P 1'
_symmetry_Int_Tables_number 1
_cell_length_a 4.483
_cell_length_b 10.153
_cell_length_c 8.823
_cell_angle_alpha 62.69
_cell_angle_beta 75.28
_cell_angle_gamma 77.25
loop_
_symmetry_equiv_pos_as_xyz
'x,y,z'
loop_
_atom_site_label
_atom_site_type_symbol
_atom_site_fract_x
_atom_site_fract_y
_atom_site_fract_z
_atom_site_occupancy
In1 In 0.941 0.899 0.218 1
Rb1 Rb 0.410 0.425 0.755 1
Ba1 Ba 0.732 0.832 0.704 1
P1 P 0.621 0.183 0.574 1
P2 P 0.891 0.194 0.024 1
P3 P 0.109 0.806 0.976 1
In2 In 0.059 0.101 0.782 1
Ba2 Ba 0.268 0.168 0.296 1
P4 P 0.379 0.817 0.426 1
Rb2 Rb 0.590 0.575 0.245 1
# total energy: -38.602 eV/cell
# space-group type: No. 12
# magnetization: 0.000 μB/atom
# formation energy from the elements: -0.57 eV per atom

=====

[6]
# TbPm2Dy5, optimized geometry, DFT PBE
data_TbPm2Dy5
_symmetry_space_group_name_H-M 'P 1'
_symmetry_Int_Tables_number 1
_cell_length_a 5.044
_cell_length_b 7.145
_cell_length_c 14.290
_cell_angle_alpha 90.00
_cell_angle_beta 90.00
_cell_angle_gamma 90.00
loop_
_symmetry_equiv_pos_as_xyz
'x,y,z'
loop_
_atom_site_label
_atom_site_type_symbol
_atom_site_fract_x
_atom_site_fract_y
_atom_site_fract_z
_atom_site_occupancy
Dy1 Dy 0.000 0.500 0.750 1
Dy2 Dy 0.500 0.250 0.375 1
Tb1 Tb 0.000 0.000 0.500 1
Dy3 Dy 0.000 0.500 0.500 1
Pm1 Pm 0.500 0.250 0.625 1
Pm2 Pm 0.500 0.250 0.125 1
Dy4 Dy 0.500 0.750 0.625 1
Dy5 Dy 0.500 0.250 0.875 1
Dy6 Dy 0.000 0.000 0.250 1
Pm3 Pm 0.500 0.750 0.375 1
Tb2 Tb 0.000 0.500 0.000 1
Dy7 Dy 0.500 0.750 0.125 1
Dy8 Dy 0.000 0.000 0.750 1
Pm4 Pm 0.500 0.750 0.875 1
Dy9 Dy 0.000 0.000 0.000 1
Dy10 Dy 0.000 0.500 0.250 1
# total energy: -74.024 eV/cell
# offset from the most stable computed form: 0.0 kJ per mole of atoms
# space-group type: No. 55
# magnetization: 0.000 μB/atom
# formation energy from the elements: 0.02 eV per atom

=====

[7]
# BaNi3C, optimized geometry, DFT PBE
data_BaNi3C
_symmetry_space_group_name_H-M 'P 1'
_symmetry_Int_Tables_number 1
_cell_length_a 4.885
_cell_length_b 4.885
_cell_length_c 4.885
_cell_angle_alpha 90.00
_cell_angle_beta 90.00
_cell_angle_gamma 90.00
loop_
_symmetry_equiv_pos_as_xyz
'x,y,z'
loop_
_atom_site_label
_atom_site_type_symbol
_atom_site_fract_x
_atom_site_fract_y
_atom_site_fract_z
_atom_site_occupancy
Ni1 Ni 0.000 0.000 0.500 1
Ba1 Ba 0.000 0.000 0.000 1
Ni2 Ni 0.000 0.500 0.000 1
C1 C 0.500 0.500 0.500 1
Ni3 Ni 0.500 0.000 0.000 1
# total energy: -13.165 eV/cell
# offset from the most stable computed form: 273.5 kJ per mole of atoms
# space-group type: No. 221
# magnetization: 0.382 μB/atom
# formation energy from the elements: 3.07 eV per atom

=====

[8]
# MnFePb2, optimized geometry, DFT PBE
data_MnFePb2
_symmetry_space_group_name_H-M 'P 1'
_symmetry_Int_Tables_number 1
_cell_length_a 5.074
_cell_length_b 5.074
_cell_length_c 5.013
_cell_angle_alpha 61.84
_cell_angle_beta 61.84
_cell_angle_gamma 49.26
loop_
_symmetry_equiv_pos_as_xyz
'x,y,z'
loop_
_atom_site_label
_atom_site_type_symbol
_atom_site_fract_x
_atom_site_fract_y
_atom_site_fract_z
_atom_site_occupancy
Pb1 Pb 0.003 0.003 0.996 1
Fe1 Fe 0.750 0.750 0.750 1
Pb2 Pb 0.497 0.497 0.504 1
Mn1 Mn 0.250 0.250 0.250 1
# total energy: -22.738 eV/cell
# offset from the most stable computed form: 21.6 kJ per mole of atoms
# space-group type: No. 12
# magnetization: 1.624 μB/atom
# formation energy from the elements: 0.58 eV per atom

=====

[9]
# SrAg2PdCl8, optimized geometry, DFT PBE
data_SrAg2PdCl8
_symmetry_space_group_name_H-M 'P 1'
_symmetry_Int_Tables_number 1
_cell_length_a 6.405
_cell_length_b 6.288
_cell_length_c 7.933
_cell_angle_alpha 89.94
_cell_angle_beta 89.97
_cell_angle_gamma 92.82
loop_
_symmetry_equiv_pos_as_xyz
'x,y,z'
loop_
_atom_site_label
_atom_site_type_symbol
_atom_site_fract_x
_atom_site_fract_y
_atom_site_fract_z
_atom_site_occupancy
Cl1 Cl 0.833 0.206 0.794 1
Sr1 Sr 0.000 0.000 0.500 1
Cl2 Cl 0.640 0.718 0.500 1
Cl3 Cl 0.168 0.795 0.794 1
Cl4 Cl 0.693 0.727 0.000 1
Cl5 Cl 0.307 0.273 0.000 1
Pd1 Pd 0.000 0.000 0.000 1
Ag1 Ag 0.500 0.500 0.235 1
Cl6 Cl 0.832 0.205 0.206 1
Cl7 Cl 0.360 0.282 0.500 1
Ag2 Ag 0.500 0.500 0.765 1
Cl8 Cl 0.167 0.794 0.206 1
# total energy: -38.047 eV/cell
# space-group type: No. 2
# E_form (uncorrected): -0.89 eV/atom
# magnetization: 0.000 μB/atom

=====

[10]
# Sm4Ir2N, optimized geometry, DFT PBE
data_Sm4Ir2N
_symmetry_space_group_name_H-M 'P 1'
_symmetry_Int_Tables_number 1
_cell_length_a 4.748
_cell_length_b 4.748
_cell_length_c 8.002
_cell_angle_alpha 72.74
_cell_angle_beta 72.74
_cell_angle_gamma 90.00
loop_
_symmetry_equiv_pos_as_xyz
'x,y,z'
loop_
_atom_site_label
_atom_site_type_symbol
_atom_site_fract_x
_atom_site_fract_y
_atom_site_fract_z
_atom_site_occupancy
Sm1 Sm 0.500 0.000 0.000 1
Ir1 Ir 0.632 0.632 0.737 1
Sm2 Sm 0.822 0.822 0.356 1
Ir2 Ir 0.368 0.368 0.263 1
Sm3 Sm 0.000 0.500 0.000 1
N1 N 0.000 0.000 0.000 1
Sm4 Sm 0.178 0.178 0.644 1
# total energy: -49.637 eV/cell
# space-group type: No. 139
# E_form (uncorrected): -0.67 eV/atom
# magnetization: 0.000 μB/atom

=====

[11]
# GdPaN, optimized geometry, DFT PBE
data_GdPaN
_symmetry_space_group_name_H-M 'P 1'
_symmetry_Int_Tables_number 1
_cell_length_a 4.638
_cell_length_b 4.638
_cell_length_c 5.118
_cell_angle_alpha 116.95
_cell_angle_beta 116.95
_cell_angle_gamma 90.00
loop_
_symmetry_equiv_pos_as_xyz
'x,y,z'
loop_
_atom_site_label
_atom_site_type_symbol
_atom_site_fract_x
_atom_site_fract_y
_atom_site_fract_z
_atom_site_occupancy
N1 N 0.608 0.608 0.217 1
Gd1 Gd 0.882 0.882 0.764 1
Pa1 Pa 0.359 0.359 0.719 1
# total energy: -30.822 eV/cell
# offset from the most stable computed form: 115.2 kJ per mole of atoms
# space-group type: No. 107
# E_form (uncorrected): 0.36 eV/atom
# magnetization: 2.894 μB/atom

=====

[12]
# NaNiTe2, optimized geometry, DFT PBE
data_NaNiTe2
_symmetry_space_group_name_H-M 'P 1'
_symmetry_Int_Tables_number 1
_cell_length_a 3.891
_cell_length_b 3.891
_cell_length_c 7.878
_cell_angle_alpha 75.70
_cell_angle_beta 75.70
_cell_angle_gamma 60.00
loop_
_symmetry_equiv_pos_as_xyz
'x,y,z'
loop_
_atom_site_label
_atom_site_type_symbol
_atom_site_fract_x
_atom_site_fract_y
_atom_site_fract_z
_atom_site_occupancy
Ni1 Ni 0.666 0.666 0.002 1
Na1 Na 0.501 0.501 0.496 1
Te1 Te 0.273 0.273 0.182 1
Te2 Te 0.060 0.060 0.820 1
# total energy: -14.834 eV/cell
# space-group type: No. 160
# E_form (uncorrected): -0.36 eV/atom
# magnetization: 0.000 μB/atom